i:
{"formula": "Rb2HgMoF6", "functional": "PBE+U", "state": "relaxed", "crystal_system": "orthorhombic", "space_group": "No. 59", "lattice": [[-5.3855, 2.9843, -0.8332], [-1.0326, -3.9994, -7.6503], [-4.5628, -7.0354, 4.2937]], "species": ["F", "F", "F", "Mo", "Rb", "Mo", "Rb", "Hg", "Rb", "F", "F", "Rb", "F", "F", "Hg", "F", "F", "F", "F", "F"], "fractional_positions": [[0.5000, 0.1441, 0.2892], [0.5000, 0.1441, 0.7108], [0.2667, 0.3130, 0.5000], [0.5000, 0.1540, 0.5000], [0.5000, 0.8175, 0.7693], [0.0000, 0.8460, 0.0000], [0.0000, 0.1825, 0.7307], [0.5000, 0.3626, 0.0000], [0.5000, 0.8175, 0.2307], [0.2231, 0.0137, 0.0000], [0.0000, 0.8559, 0.2108], [0.0000, 0.1825, 0.2693], [0.2333, 0.6870, 0.0000], [0.7231, 0.9863, 0.5000], [0.0000, 0.6374, 0.5000], [0.7333, 0.3130, 0.5000], [0.7769, 0.0137, 0.0000], [0.7667, 0.6870, 0.0000], [0.0000, 0.8559, 0.7892], [0.2769, 0.9863, 0.5000]]}

ii:
{"formula": "Rb2HgMoF6", "functional": "PBE+U", "state": "relaxed", "crystal_system": "tetragonal", "space_group": "No. 139", "lattice": [[-5.5348, 1.5995, 3.8442], [2.5932, -3.6787, 5.2643], [0.8786, 3.0327, 6.2426]], "species": ["Rb", "F", "F", "Hg", "F", "F", "Mo", "F", "F", "Rb"], "fractional_positions": [[0.2500, 0.7500, 0.5000], [0.2956, 0.2956, 0.4088], [0.7021, 0.2979, 0.0000], [0.0000, 0.0000, 0.0000], [0.7044, 0.7044, 0.5912], [0.2979, 0.7021, 0.0000], [0.5000, 0.5000, 0.0000], [0.2979, 0.2979, 0.0000], [0.7021, 0.7021, 0.0000], [0.7500, 0.2500, 0.5000]]}

It turns out i is the most stable, with the second structure 45 meV/atom higher.